(1)
## Te3SeBr (PBE)

Data for crystalline Te3SeBr at its relaxed geometry.

Computed properties:
N(E_F)   6.9 states/eV/cell
Formation energy without anion corrections   0.54 eV per atom
Total magnetic moment   0.00 Bohr magnetons per cell

Lattice parameters (Å, degrees): 5.498 5.498 5.498 90.00 90.00 90.00
Space group Pm-3m (No. 221)
Asymmetric unit:
Te 0.000 0.000 0.500
Se 0.000 0.000 0.000
Br 0.500 0.500 0.500

(2)
## TeSe2Br (PBE)

Data for crystalline TeSe2Br at its relaxed geometry.

Computed properties:
N(E_F)   6.8 states/eV/cell
Formation energy without anion corrections   0.51 eV per atom
Total magnetic moment   0.00 Bohr magnetons per cell

Lattice parameters (Å, degrees): 5.082 5.082 7.298 90.00 90.00 90.00
Space group I-4m2 (No. 119)
Asymmetric unit:
Te 0.000 0.000 0.000
Se 0.000 0.000 0.500
Se 0.000 0.500 0.250
Br 0.000 0.500 0.750

(3)
## Te3SeBr (PBE)

Data for crystalline Te3SeBr at its relaxed geometry.

Computed properties:
Formation energy without anion corrections   0.01 eV per atom
Total magnetic moment   0.00 Bohr magnetons per cell

Lattice parameters (Å, degrees): 6.627 7.042 10.406 85.92 76.60 75.56
Space group P-1 (No. 2)
Asymmetric unit:
Te 0.053 0.205 0.395
Te 0.194 0.546 0.307
Te 0.313 0.978 0.172
Se 0.064 0.854 0.067
Br 0.411 0.601 0.678

(4)
## Te2SeBr2 (PBE)

Data for crystalline Te2SeBr2 at its relaxed geometry.

Computed properties:
N(E_F)   6.9 states/eV/cell
Formation energy without anion corrections   -0.09 eV per atom
Total magnetic moment   0.00 Bohr magnetons per cell

Lattice parameters (Å, degrees): 17.708 5.446 10.150 90.00 118.51 90.00
Space group C2/m (No. 12)
Asymmetric unit:
Te 0.068 0.000 0.261
Te 0.198 0.500 0.706
Se 0.144 0.000 0.105
Br 0.019 0.500 0.225
Br 0.169 0.000 0.746

(5)
## TeSe2Br (PBE)

Data for crystalline TeSe2Br at its relaxed geometry.

Computed properties:
N(E_F)   4.7 states/eV/cell
Formation energy without anion corrections   0.20 eV per atom
Total magnetic moment   0.00 Bohr magnetons per cell

Lattice parameters (Å, degrees): 4.044 8.544 7.791 90.00 90.00 90.00
Space group Cmm2 (No. 35)
Asymmetric unit:
Te 0.000 0.000 0.000
Se 0.000 0.000 0.544
Se 0.000 0.500 0.756
Br 0.000 0.500 0.277

(6)
## TeSe2Br2 (PBE)

Data for crystalline TeSe2Br2 at its relaxed geometry.

Computed properties:
N(E_F)   6.4 states/eV/cell
Formation energy without anion corrections   0.41 eV per atom
Total magnetic moment   1.59 Bohr magnetons per cell

Lattice parameters (Å, degrees): 6.167 6.167 7.867 90.00 90.00 90.00
Space group I4/mmm (No. 139)
Asymmetric unit:
Te 0.000 0.000 0.000
Se 0.000 0.000 0.356
Br 0.000 0.500 0.250

(7)
## Te3SeBr2 (PBE)

Data for crystalline Te3SeBr2 at its relaxed geometry.

Computed properties:
N(E_F)   3.0 states/eV/cell
Formation energy without anion corrections   -0.05 eV per atom
Total magnetic moment   0.00 Bohr magnetons per cell

Lattice parameters (Å, degrees): 9.401 5.917 9.691 90.00 109.52 90.00
Space group P2_1 (No. 4)
Asymmetric unit:
Te 0.024 0.000 0.177
Te 0.096 0.935 0.839
Te 0.468 0.046 0.443
Se 0.202 0.036 0.447
Br 0.209 0.540 0.169
Br 0.365 0.828 0.840

(8)
## Te4Se5Br2 (PBE)

Data for crystalline Te4Se5Br2 at its relaxed geometry.

Computed properties:
N(E_F)   13.6 states/eV/cell
Formation energy without anion corrections   0.24 eV per atom
Total magnetic moment   0.00 Bohr magnetons per cell

Lattice parameters (Å, degrees): 16.589 5.903 7.852 90.00 105.84 90.00
Space group C2/m (No. 12)
Asymmetric unit:
Te 0.085 0.000 0.026
Te 0.229 0.000 0.651
Se 0.000 0.500 0.000
Se 0.131 0.278 0.364
Br 0.207 0.500 0.834

(9)
## TeSe2Br (PBE)

Data for crystalline TeSe2Br at its relaxed geometry.

Computed properties:
N(E_F)   2.0 states/eV/cell
Formation energy without anion corrections   0.34 eV per atom
Total magnetic moment   0.00 Bohr magnetons per cell

Lattice parameters (Å, degrees): 3.966 3.966 8.354 90.00 90.00 90.00
Space group P4/mmm (No. 123)
Asymmetric unit:
Te 0.000 0.000 0.000
Se 0.000 0.500 0.500
Br 0.500 0.500 0.000

(10)
## TeSe2Br (PBE)

Data for crystalline TeSe2Br at its relaxed geometry.

Computed properties:
N(E_F)   3.1 states/eV/cell
Formation energy without anion corrections   0.52 eV per atom
Total magnetic moment   0.00 Bohr magnetons per cell

Lattice parameters (Å, degrees): 5.095 5.095 3.632 90.00 90.00 90.00
Space group P4/mmm (No. 123)
Asymmetric unit:
Te 0.000 0.000 0.000
Se 0.000 0.500 0.500
Br 0.500 0.500 0.000

(11)
## TeSe2Br (PBE)

Data for crystalline TeSe2Br at its relaxed geometry.

Computed properties:
N(E_F)   9.4 states/eV/cell
Formation energy without anion corrections   0.08 eV per atom
Total magnetic moment   0.00 Bohr magnetons per cell

Lattice parameters (Å, degrees): 4.1277 4.1277 22.1447 90.00 90.00 120.00
Space group R-3m (No. 166, hexagonal axes)
Asymmetric unit:
Te 0.0000 0.0000 0.0000
Se 0.0000 0.0000 0.2599
Br 0.0000 0.0000 0.5000

(12)
## Te2Se2Br (PBE)

Data for crystalline Te2Se2Br at its relaxed geometry.

Computed properties:
N(E_F)   8.2 states/eV/cell
Formation energy without anion corrections   0.27 eV per atom
Total magnetic moment   0.00 Bohr magnetons per cell

Lattice parameters (Å, degrees): 8.227 8.227 3.848 90.00 90.00 90.00
Space group P4/mbm (No. 127)
Asymmetric unit:
Te 0.144 0.356 0.000
Se 0.170 0.670 0.500
Br 0.000 0.000 0.500

- Number 3 is which compound?
  Te3SeBr

- Among the records above, which one has the highest total magnetic moment?
  TeSe2Br2

Copy entry 8 word for word.
## Te4Se5Br2 (PBE)

Data for crystalline Te4Se5Br2 at its relaxed geometry.

Computed properties:
N(E_F)   13.6 states/eV/cell
Formation energy without anion corrections   0.24 eV per atom
Total magnetic moment   0.00 Bohr magnetons per cell

Lattice parameters (Å, degrees): 16.589 5.903 7.852 90.00 105.84 90.00
Space group C2/m (No. 12)
Asymmetric unit:
Te 0.085 0.000 0.026
Te 0.229 0.000 0.651
Se 0.000 0.500 0.000
Se 0.131 0.278 0.364
Br 0.207 0.500 0.834

- Look up the total magnetic moment of the ninth one.
  0.00 Bohr magnetons per cell